[1]
PBE KY2Si, optimized geometry; DOS at the Fermi energy = 3.365 states/eV per cell; E_form (uncorrected) = 265 meV per atom; symmetry = I-4m2 (119); magnetic moment = 0.000 μB/atom
1.0
-2.704 -2.612 -4.903
1.856 -5.684 -1.557
-1.832 2.886 5.147
K Si Y
1 1 2
Direct
0.500 0.500 0.000
0.750 0.250 0.500
0.000 0.000 0.000
0.250 0.750 0.500

[2]
PBE TaC3Cl, optimized geometry; energy relative to the lowest polymorph listed for this composition = 0.646 eV per atom; DOS at the Fermi energy = 2.357 states/eV per cell; E_form (uncorrected) = 2823 meV per atom; symmetry = Pm-3m (221); magnetic moment = 0.000 μB/atom
1.0
-1.696 -2.544 -2.100
1.911 -2.682 1.706
-2.689 -0.301 2.537
C Cl Ta
3 1 1
Direct
0.000 0.500 0.000
0.000 0.000 0.500
0.500 0.000 0.000
0.000 0.000 0.000
0.500 0.500 0.500

[3]
PBE Th2Mg2Ge4Ir, optimized geometry; DOS at the Fermi energy = 4.017 states/eV per cell; symmetry = I4/mmm (139); magnetic moment = 0.000 μB/atom; DFT formation energy = -0.46 eV/atom
1.0
-2.417 3.943 -4.364
-3.665 -4.864 1.829
0.845 2.350 5.848
Th Mg Ge Ir
2 2 4 1
Direct
0.500 0.750 0.250
0.500 0.250 0.750
0.000 0.699 0.699
0.000 0.301 0.301
0.000 0.735 0.265
0.470 0.735 0.735
0.000 0.265 0.735
0.530 0.265 0.265
0.000 0.000 0.000

[4]
PBE Ac5TaN8, optimized geometry; E_form (uncorrected) = -748 meV per atom; symmetry = I-4 (82); magnetic moment = 0.000 μB/atom
1.0
6.706 0.105 -0.180
-2.170 6.345 0.180
-2.365 -3.157 5.427
Ac Ta N
5 1 8
Direct
0.013 0.365 0.108
0.892 0.905 0.257
0.743 0.635 0.648
0.500 0.000 0.500
0.352 0.095 0.987
0.250 0.500 0.750
0.142 0.717 0.030
0.970 0.112 0.687
0.895 0.375 0.441
0.559 0.454 0.935
0.481 0.546 0.105
0.575 0.888 0.858
0.313 0.283 0.425
0.065 0.625 0.519